VASP calculation (PBE) on a relaxed structure of TbHo8Hg2.

Results
For the formation energy, the calculation gives -0.046 eV/atom. As for the space-group type: No. 12. The total magnetic moment comes out at 0.000 μB per atom.

extended XYZ file:
```
11
Lattice="5.483 -0.221 -0.332 -1.239 8.493 -0.588 -1.239 -3.814 7.611" Properties=species:S:1:pos:R:3 pbc="T T T"
Ho 2.927 4.926 4.338
Ho 2.857 1.706 2.561
Hg -1.239 4.720 1.925
Hg -1.239 -0.041 5.098
Ho 0.077 -0.468 2.353
Ho 1.502 5.618 1.088
Ho 0.077 2.352 0.474
Ho 1.502 -1.160 5.603
Ho 0.148 2.752 4.130
Ho 2.927 2.106 6.217
Tb 2.741 -0.110 -0.166
```